# HfTi | Alexandria via LeMat-Bulk | meta-GGA SCAN | single point on PBEsol structure
data_HfTi
_chemical_formula_sum 'Hf1 Ti1'
_space_group_name_H-M_alt 'P 1'
_space_group_IT_number 1
_cell_length_a 3.049
_cell_length_b 3.049
_cell_length_c 4.764
_cell_angle_alpha 90.00
_cell_angle_beta 90.00
_cell_angle_gamma 120.00
loop_
_space_group_symop_operation_xyz
'x,y,z'
loop_
_atom_site_label
_atom_site_fract_x
_atom_site_fract_y
_atom_site_fract_z
_atom_site_occupancy
Hf1 0.000 0.000 0.000 1
Ti1 0.333 0.667 0.500 1
# SG: P-6m2, No. 187
# Crystal system: hexagonal
# Total magnetic moment in Bohr magnetons per cell: 0.0
# Calculated formation energy in kJ per mole of atoms: 4.5

# HfTi3W | Alexandria via LeMat-Bulk | meta-GGA SCAN | single point on PBEsol structure
data_HfTi3W
_chemical_formula_sum 'Hf1 Ti3 W1'
_space_group_name_H-M_alt 'P 1'
_space_group_IT_number 1
_cell_length_a 4.594
_cell_length_b 4.594
_cell_length_c 4.594
_cell_angle_alpha 90.00
_cell_angle_beta 90.00
_cell_angle_gamma 90.00
loop_
_space_group_symop_operation_xyz
'x,y,z'
loop_
_atom_site_label
_atom_site_fract_x
_atom_site_fract_y
_atom_site_fract_z
_atom_site_occupancy
Hf1 0.000 0.000 0.000 1
Ti1 0.000 0.000 0.500 1
Ti2 0.000 0.500 0.000 1
Ti3 0.500 0.000 0.000 1
W1 0.500 0.500 0.500 1
# SG: Pm-3m, No. 221
# Crystal system: cubic
# Total magnetic moment in Bohr magnetons per cell: 0.0
# Calculated formation energy in kJ per mole of atoms: 160.2

# YHf3Ti | Alexandria via LeMat-Bulk | meta-GGA SCAN | single point on PBEsol structure
data_YHf3Ti
_chemical_formula_sum 'Y1 Hf3 Ti1'
_space_group_name_H-M_alt 'P 1'
_space_group_IT_number 1
_cell_length_a 4.977
_cell_length_b 4.977
_cell_length_c 4.977
_cell_angle_alpha 90.00
_cell_angle_beta 90.00
_cell_angle_gamma 90.00
loop_
_space_group_symop_operation_xyz
'x,y,z'
loop_
_atom_site_label
_atom_site_fract_x
_atom_site_fract_y
_atom_site_fract_z
_atom_site_occupancy
Y1 0.000 0.000 0.000 1
Hf1 0.000 0.000 0.500 1
Hf2 0.000 0.500 0.000 1
Hf3 0.500 0.000 0.000 1
Ti1 0.500 0.500 0.500 1
# SG: Pm-3m, No. 221
# Crystal system: cubic
# Total magnetic moment in Bohr magnetons per cell: 2.0
# Calculated formation energy in kJ per mole of atoms: 163.6

# Hf2ZrTiZn | Alexandria via LeMat-Bulk | meta-GGA SCAN | single point on PBEsol structure
data_Hf2ZrTiZn
_chemical_formula_sum 'Hf2 Zr1 Ti1 Zn1'
_space_group_name_H-M_alt 'P 1'
_space_group_IT_number 1
_cell_length_a 5.062
_cell_length_b 5.062
_cell_length_c 4.601
_cell_angle_alpha 90.00
_cell_angle_beta 90.00
_cell_angle_gamma 90.00
loop_
_space_group_symop_operation_xyz
'x,y,z'
loop_
_atom_site_label
_atom_site_fract_x
_atom_site_fract_y
_atom_site_fract_z
_atom_site_occupancy
Hf1 0.000 0.500 0.000 1
Hf2 0.500 0.000 0.000 1
Zr1 0.000 0.000 0.000 1
Ti1 0.000 0.000 0.500 1
Zn1 0.500 0.500 0.500 1
# SG: P4/mmm, No. 123
# Crystal system: tetragonal
# Total magnetic moment in Bohr magnetons per cell: 1.1
# Calculated formation energy in kJ per mole of atoms: 127.0

# HfZr2Ti | Alexandria via LeMat-Bulk | meta-GGA SCAN | single point on PBEsol structure
data_HfZr2Ti
_chemical_formula_sum 'Hf1 Zr2 Ti1'
_space_group_name_H-M_alt 'P 1'
_space_group_IT_number 1
_cell_length_a 4.863
_cell_length_b 4.863
_cell_length_c 4.863
_cell_angle_alpha 60.00
_cell_angle_beta 60.00
_cell_angle_gamma 60.00
loop_
_space_group_symop_operation_xyz
'x,y,z'
loop_
_atom_site_label
_atom_site_fract_x
_atom_site_fract_y
_atom_site_fract_z
_atom_site_occupancy
Hf1 0.000 0.000 0.000 1
Zr1 0.250 0.250 0.250 1
Zr2 0.750 0.750 0.750 1
Ti1 0.500 0.500 0.500 1
# SG: Fm-3m, No. 225
# Crystal system: cubic
# Total magnetic moment in Bohr magnetons per cell: 1.4
# Calculated formation energy in kJ per mole of atoms: 10.7

# Hf3Tl | Alexandria via LeMat-Bulk | meta-GGA SCAN | single point on PBEsol structure
data_Hf3Tl
_chemical_formula_sum 'Hf3 Tl1'
_space_group_name_H-M_alt 'P 1'
_space_group_IT_number 1
_cell_length_a 5.541
_cell_length_b 5.541
_cell_length_c 5.541
_cell_angle_alpha 134.71
_cell_angle_beta 134.71
_cell_angle_gamma 65.98
loop_
_space_group_symop_operation_xyz
'x,y,z'
loop_
_atom_site_label
_atom_site_fract_x
_atom_site_fract_y
_atom_site_fract_z
_atom_site_occupancy
Hf1 0.000 0.000 0.000 1
Hf2 0.250 0.750 0.500 1
Hf3 0.750 0.250 0.500 1
Tl1 0.500 0.500 0.000 1
# SG: I4/mmm, No. 139
# Crystal system: tetragonal
# Total magnetic moment in Bohr magnetons per cell: 0.0
# Calculated formation energy in kJ per mole of atoms: -9.0

# Hf2Tl | Alexandria via LeMat-Bulk | meta-GGA SCAN | single point on PBEsol structure
data_Hf2Tl
_chemical_formula_sum 'Hf2 Tl1'
_space_group_name_H-M_alt 'P 1'
_space_group_IT_number 1
_cell_length_a 5.860
_cell_length_b 5.860
_cell_length_c 5.860
_cell_angle_alpha 145.36
_cell_angle_beta 145.36
_cell_angle_gamma 49.80
loop_
_space_group_symop_operation_xyz
'x,y,z'
loop_
_atom_site_label
_atom_site_fract_x
_atom_site_fract_y
_atom_site_fract_z
_atom_site_occupancy
Hf1 0.167 0.167 0.000 1
Hf2 0.833 0.833 0.000 1
Tl1 0.500 0.500 0.000 1
# SG: I4/mmm, No. 139
# Crystal system: tetragonal
# Total magnetic moment in Bohr magnetons per cell: 0.0
# Calculated formation energy in kJ per mole of atoms: -8.3

# HfZr2Tl | Alexandria via LeMat-Bulk | meta-GGA SCAN | single point on PBEsol structure
data_HfZr2Tl
_chemical_formula_sum 'Hf1 Zr2 Tl1'
_space_group_name_H-M_alt 'P 1'
_space_group_IT_number 1
_cell_length_a 4.942
_cell_length_b 4.942
_cell_length_c 4.942
_cell_angle_alpha 60.00
_cell_angle_beta 60.00
_cell_angle_gamma 60.00
loop_
_space_group_symop_operation_xyz
'x,y,z'
loop_
_atom_site_label
_atom_site_fract_x
_atom_site_fract_y
_atom_site_fract_z
_atom_site_occupancy
Hf1 0.000 0.000 0.000 1
Zr1 0.250 0.250 0.250 1
Zr2 0.750 0.750 0.750 1
Tl1 0.500 0.500 0.500 1
# SG: Fm-3m, No. 225
# Crystal system: cubic
# Total magnetic moment in Bohr magnetons per cell: 1.2
# Calculated formation energy in kJ per mole of atoms: -2.8

# HfV2W | Alexandria via LeMat-Bulk | meta-GGA SCAN | single point on PBEsol structure
data_HfV2W
_chemical_formula_sum 'Hf1 V2 W1'
_space_group_name_H-M_alt 'P 1'
_space_group_IT_number 1
_cell_length_a 4.430
_cell_length_b 4.430
_cell_length_c 4.430
_cell_angle_alpha 60.00
_cell_angle_beta 60.00
_cell_angle_gamma 60.00
loop_
_space_group_symop_operation_xyz
'x,y,z'
loop_
_atom_site_label
_atom_site_fract_x
_atom_site_fract_y
_atom_site_fract_z
_atom_site_occupancy
Hf1 0.000 0.000 0.000 1
V1 0.250 0.250 0.250 1
V2 0.750 0.750 0.750 1
W1 0.500 0.500 0.500 1
# SG: Fm-3m, No. 225
# Crystal system: cubic
# Total magnetic moment in Bohr magnetons per cell: 2.7
# Calculated formation energy in kJ per mole of atoms: 4.5

# HfZrW4 | Alexandria via LeMat-Bulk | meta-GGA SCAN | single point on PBEsol structure
data_HfZrW4
_chemical_formula_sum 'Hf1 Zr1 W4'
_space_group_name_H-M_alt 'P 1'
_space_group_IT_number 1
_cell_length_a 5.344
_cell_length_b 5.344
_cell_length_c 5.344
_cell_angle_alpha 60.00
_cell_angle_beta 60.00
_cell_angle_gamma 60.00
loop_
_space_group_symop_operation_xyz
'x,y,z'
loop_
_atom_site_label
_atom_site_fract_x
_atom_site_fract_y
_atom_site_fract_z
_atom_site_occupancy
Hf1 0.000 0.000 0.000 1
Zr1 0.750 0.750 0.750 1
W1 0.375 0.375 0.375 1
W2 0.375 0.375 0.875 1
W3 0.375 0.875 0.375 1
W4 0.875 0.375 0.375 1
# SG: F-43m, No. 216
# Crystal system: cubic
# Total magnetic moment in Bohr magnetons per cell: 0.0
# Calculated formation energy in kJ per mole of atoms: -15.6

> The highest total magnetic moment belongs to which entry?

HfV2W